(1)
Compound: LiGaMoIr
Source: OQMD via LeMat-Bulk
Functional: PBE-GGA
Structure: optimized geometry

Cell: 4.285 4.285 4.285 Å, 60.00 60.00 60.00°
Element x y z (fractional)
Li (0.750, 0.750, 0.750)
Ir (0.000, 0.000, 0.000)
Ga (0.250, 0.250, 0.250)
Mo (0.500, 0.500, 0.500)

The raw total energy comes out at -6.103 eV per atom. The calculation puts the polymorph energy (0 for the lowest one) at 1.29 eV/f.u. The space group is No. 216. The mass density is 10.89 g/cm³.

(2)
Compound: Dy2ErAl3AgPt2
Source: OQMD via LeMat-Bulk
Functional: PBE-GGA
Structure: optimized geometry

Cell: 3.903 7.330 7.330 Å, 119.90 90.00 90.00°
Element x y z (fractional)
Ag (0.000, 0.999, 0.999)
Pt (0.500, 0.335, 0.666)
Al (0.500, 0.741, 0.999)
Pt (0.500, 0.666, 0.335)
Al (0.500, 0.999, 0.741)
Er (0.000, 0.585, 0.585)
Dy (0.000, 0.416, 0.000)
Al (0.500, 0.259, 0.259)
Dy (0.000, 0.000, 0.416)

The raw total energy comes out at -5.317 eV per atom. The space group is No. 38. The mass density is 9.78 g/cm³.